Here is Y2Ga3Ag5 after structural relaxation from the Alexandria database. Energies are from PBE-GGA.

Values from the calculation:
The value obtained for the excess energy over the best structure of this formula in the dataset is 26.4 meV/atom. The calculation puts the final energy at -156.07 eV per cell. As for the density of states at the Fermi level: 4.74 states/eV/f.u. The crystal system is orthorhombic. Its total moment is 0.00 μB/cell. The value obtained for the formation energy is -275 meV/atom.

The structure in CIF format:
```
data_Y2Ga3Ag5
_chemical_formula_sum 'Y8 Ga12 Ag20'
_space_group_name_H-M_alt 'I b a m'
_space_group_IT_number 72
_space_group_name_Hall '-I 2 2c'
_cell_length_a 11.581
_cell_length_b 12.097
_cell_length_c 5.836
_cell_angle_alpha 90.00
_cell_angle_beta 90.00
_cell_angle_gamma 90.00
loop_
_atom_site_label
_atom_site_type_symbol
_atom_site_fract_x
_atom_site_fract_y
_atom_site_fract_z
Y1 Y 0.132 0.233 0.000
Ga1 Ga 0.000 0.500 0.250
Ga2 Ga 0.132 0.137 0.500
Ag1 Ag 0.000 0.000 0.250
Ag2 Ag 0.106 0.347 0.500
Ag3 Ag 0.243 0.500 0.250
```

=====

Here is Y3Ga2Ag after structural relaxation from the Alexandria database. Energies are from PBE-GGA.

Values from the calculation:
The value obtained for the excess energy over the best structure of this formula in the dataset is 6.6 meV/atom. The calculation puts the final energy at -31.36 eV per cell. As for the density of states at the Fermi level: 4.32 states/eV/f.u. The crystal system is tetragonal. Its total moment is 0.00 μB/cell. The value obtained for the formation energy is -511 meV/atom.

The structure in CIF format:
```
data_Y3Ga2Ag
_chemical_formula_sum 'Y3 Ga2 Ag1'
_space_group_name_H-M_alt 'P 4/m m m'
_space_group_IT_number 123
_space_group_name_Hall '-P 4 2'
_cell_length_a 3.548
_cell_length_b 3.548
_cell_length_c 11.151
_cell_angle_alpha 90.00
_cell_angle_beta 90.00
_cell_angle_gamma 90.00
loop_
_atom_site_label
_atom_site_type_symbol
_atom_site_fract_x
_atom_site_fract_y
_atom_site_fract_z
Y1 Y 0.000 0.000 0.000
Y2 Y 0.000 0.000 0.328
Ga1 Ga 0.500 0.500 0.168
Ag1 Ag 0.500 0.500 0.500
```

=====

Here is YGaAg2 after structural relaxation from the Alexandria database. Energies are from PBE-GGA.

Values from the calculation:
The calculation puts the final energy at -131.90 eV per cell. As for the density of states at the Fermi level: 2.02 states/eV/f.u. The crystal system is orthorhombic. Its total moment is 0.00 μB/cell. The value obtained for the formation energy is -323 meV/atom.

The structure in CIF format:
```
data_YGaAg2
_chemical_formula_sum 'Y8 Ga8 Ag16'
_space_group_name_H-M_alt 'C m c m'
_space_group_IT_number 63
_space_group_name_Hall '-C 2c 2'
_cell_length_a 4.202
_cell_length_b 16.930
_cell_length_c 9.479
_cell_angle_alpha 90.00
_cell_angle_beta 90.00
_cell_angle_gamma 90.00
loop_
_atom_site_label
_atom_site_type_symbol
_atom_site_fract_x
_atom_site_fract_y
_atom_site_fract_z
Y1 Y 0.000 0.000 0.000
Y2 Y 0.000 0.189 0.250
Ga1 Ga 0.000 0.364 0.526
Ag1 Ag 0.000 0.203 0.594
Ag2 Ag 0.000 0.386 0.250
Ag3 Ag 0.000 0.454 0.750
```

=====

Here is Y2Ga3Ag5 after structural relaxation from the Alexandria database. Energies are from PBE-GGA.

Values from the calculation:
The value obtained for the excess energy over the best structure of this formula in the dataset is 0.0 meV/atom. The calculation puts the final energy at -157.13 eV per cell. As for the density of states at the Fermi level: 4.39 states/eV/f.u. The crystal system is orthorhombic. Its total moment is 0.00 μB/cell. The value obtained for the formation energy is -302 meV/atom.

The structure in CIF format:
```
data_Y2Ga3Ag5
_chemical_formula_sum 'Y8 Ga12 Ag20'
_space_group_name_H-M_alt 'C m c 21'
_space_group_IT_number 36
_cell_length_a 4.552
_cell_length_b 24.948
_cell_length_c 7.032
_cell_angle_alpha 90.00
_cell_angle_beta 90.00
_cell_angle_gamma 90.00
loop_
_space_group_symop_operation_xyz
'x,y,z'
'-x,-y,z+1/2'
'-x,y,z'
'x,-y,z+1/2'
'x+1/2,y+1/2,z'
'-x+1/2,-y+1/2,z+1/2'
'-x+1/2,y+1/2,z'
'x+1/2,-y+1/2,z+1/2'
loop_
_atom_site_label
_atom_site_type_symbol
_atom_site_fract_x
_atom_site_fract_y
_atom_site_fract_z
Y1 Y 0.000 0.014 0.000
Y2 Y 0.000 0.327 0.028
Ga1 Ga 0.000 0.104 0.698
Ga2 Ga 0.000 0.270 0.576
Ga3 Ga 0.000 0.449 0.800
Ag1 Ag 0.000 0.106 0.302
Ag2 Ag 0.000 0.198 0.867
Ag3 Ag 0.000 0.218 0.263
Ag4 Ag 0.000 0.375 0.514
Ag5 Ag 0.000 0.449 0.201
```

=====

Here is Y3GaAg after structural relaxation from the Alexandria database. Energies are from PBE-GGA.

Values from the calculation:
The value obtained for the excess energy over the best structure of this formula in the dataset is 522.9 meV/atom. The calculation puts the final energy at -24.47 eV per cell. As for the density of states at the Fermi level: 7.98 states/eV/f.u. The crystal system is cubic. Its total moment is 1.25 μB/cell. The value obtained for the formation energy is 159 meV/atom.

The structure in CIF format:
```
data_Y3GaAg
_chemical_formula_sum 'Y3 Ga1 Ag1'
_space_group_name_H-M_alt 'P m -3 m'
_space_group_IT_number 221
_space_group_name_Hall '-P 4 2 3'
_cell_length_a 5.445
_cell_length_b 5.445
_cell_length_c 5.445
_cell_angle_alpha 90.00
_cell_angle_beta 90.00
_cell_angle_gamma 90.00
loop_
_atom_site_label
_atom_site_type_symbol
_atom_site_fract_x
_atom_site_fract_y
_atom_site_fract_z
Y1 Y 0.000 0.000 0.500
Ga1 Ga 0.000 0.000 0.000
Ag1 Ag 0.500 0.500 0.500
```

=====

Here is YGa3Ag after structural relaxation from the Alexandria database. Energies are from PBE-GGA.

Values from the calculation:
The value obtained for the excess energy over the best structure of this formula in the dataset is 468.0 meV/atom. The calculation puts the final energy at -17.70 eV per cell. As for the density of states at the Fermi level: 3.29 states/eV/f.u. The crystal system is cubic. Its total moment is 0.00 μB/cell. The value obtained for the formation energy is 139 meV/atom.

The structure in CIF format:
```
data_YGa3Ag
_chemical_formula_sum 'Y1 Ga3 Ag1'
_space_group_name_H-M_alt 'P m -3 m'
_space_group_IT_number 221
_space_group_name_Hall '-P 4 2 3'
_cell_length_a 4.924
_cell_length_b 4.924
_cell_length_c 4.924
_cell_angle_alpha 90.00
_cell_angle_beta 90.00
_cell_angle_gamma 90.00
loop_
_atom_site_label
_atom_site_type_symbol
_atom_site_fract_x
_atom_site_fract_y
_atom_site_fract_z
Y1 Y 0.000 0.000 0.000
Ga1 Ga 0.000 0.500 0.500
Ag1 Ag 0.500 0.500 0.500
```

=====

Here is Y3Ga4Ag4 after structural relaxation from the Alexandria database. Energies are from PBE-GGA.

Values from the calculation:
The calculation puts the final energy at -95.64 eV per cell. As for the density of states at the Fermi level: 3.86 states/eV/f.u. The crystal system is orthorhombic. Its total moment is 0.00 μB/cell. The value obtained for the formation energy is -447 meV/atom.

The structure in CIF format:
```
data_Y3Ga4Ag4
_chemical_formula_sum 'Y6 Ga8 Ag8'
_space_group_name_H-M_alt 'I m m m'
_space_group_IT_number 71
_space_group_name_Hall '-I 2 2'
_cell_length_a 3.553
_cell_length_b 4.577
_cell_length_c 27.938
_cell_angle_alpha 90.00
_cell_angle_beta 90.00
_cell_angle_gamma 90.00
loop_
_atom_site_label
_atom_site_type_symbol
_atom_site_fract_x
_atom_site_fract_y
_atom_site_fract_z
Y1 Y 0.000 0.000 0.000
Y2 Y 0.000 0.500 0.143
Ga1 Ga 0.000 0.000 0.453
Ga2 Ga 0.000 0.500 0.314
Ag1 Ag 0.000 0.000 0.261
Ag2 Ag 0.000 0.500 0.407
```

=====

Here is YGaAg2 after structural relaxation from the Alexandria database. Energies are from PBE-GGA.

Values from the calculation:
The calculation puts the final energy at -30.50 eV per cell. As for the density of states at the Fermi level: 2.07 states/eV/f.u. The crystal system is orthorhombic. Its total moment is 0.00 μB/cell. The value obtained for the formation energy is -15 meV/atom.

The structure in CIF format:
```
data_YGaAg2
_chemical_formula_sum 'Y2 Ga2 Ag4'
_space_group_name_H-M_alt 'I m m m'
_space_group_IT_number 71
_space_group_name_Hall '-I 2 2'
_cell_length_a 3.209
_cell_length_b 4.870
_cell_length_c 11.442
_cell_angle_alpha 90.00
_cell_angle_beta 90.00
_cell_angle_gamma 90.00
loop_
_atom_site_label
_atom_site_type_symbol
_atom_site_fract_x
_atom_site_fract_y
_atom_site_fract_z
Y1 Y 0.000 0.000 0.000
Ga1 Ga 0.000 0.000 0.500
Ag1 Ag 0.000 0.000 0.274
```

=====

Here is YGa3Ag after structural relaxation from the Alexandria database. Energies are from PBE-GGA.

Values from the calculation:
The value obtained for the excess energy over the best structure of this formula in the dataset is 0.0 meV/atom. The calculation puts the final energy at -80.17 eV per cell. As for the density of states at the Fermi level: 2.31 states/eV/f.u. The crystal system is orthorhombic. Its total moment is 0.00 μB/cell. The value obtained for the formation energy is -329 meV/atom.

The structure in CIF format:
```
data_YGa3Ag
_chemical_formula_sum 'Y4 Ga12 Ag4'
_space_group_name_H-M_alt 'C m m m'
_space_group_IT_number 65
_space_group_name_Hall '-C 2 2'
_cell_length_a 4.166
_cell_length_b 24.144
_cell_length_c 4.132
_cell_angle_alpha 90.00
_cell_angle_beta 90.00
_cell_angle_gamma 90.00
loop_
_atom_site_label
_atom_site_type_symbol
_atom_site_fract_x
_atom_site_fract_y
_atom_site_fract_z
Y1 Y 0.000 0.175 0.000
Ga1 Ga 0.000 0.052 0.500
Ga2 Ga 0.000 0.277 0.500
Ga3 Ga 0.000 0.448 0.000
Ag1 Ag 0.000 0.381 0.500
```

=====

Here is Y3Ga3Ag after structural relaxation from the Alexandria database. Energies are from PBE-GGA.

Values from the calculation:
The calculation puts the final energy at -141.93 eV per cell. As for the density of states at the Fermi level: 4.02 states/eV/f.u. The crystal system is monoclinic. Its total moment is 0.00 μB/cell. The value obtained for the formation energy is -594 meV/atom.

The structure in CIF format:
```
data_Y3Ga3Ag
_chemical_formula_sum 'Y12 Ga12 Ag4'
_space_group_name_H-M_alt 'C 1 2/m 1'
_space_group_IT_number 12
_cell_length_a 10.852
_cell_length_b 4.418
_cell_length_c 14.285
_cell_angle_alpha 90.00
_cell_angle_beta 110.06
_cell_angle_gamma 90.00
loop_
_space_group_symop_operation_xyz
'x,y,z'
'-x,-y,-z'
'-x,y,-z'
'x,-y,z'
'x+1/2,y+1/2,z'
'-x+1/2,-y+1/2,-z'
'-x+1/2,y+1/2,-z'
'x+1/2,-y+1/2,z'
loop_
_atom_site_label
_atom_site_type_symbol
_atom_site_fract_x
_atom_site_fract_y
_atom_site_fract_z
Y1 Y 0.033 0.000 0.380
Y2 Y 0.105 0.000 0.924
Y3 Y 0.237 0.000 0.223
Ga1 Ga 0.025 0.500 0.228
Ga2 Ga 0.110 0.500 0.075
Ga3 Ga 0.124 0.500 0.546
Ag1 Ag 0.244 0.500 0.394
```

=====

Here is Y4Ga2Ag after structural relaxation from the Alexandria database. Energies are from PBE-GGA.

Values from the calculation:
The calculation puts the final energy at -112.70 eV per cell. As for the density of states at the Fermi level: 6.17 states/eV/f.u. The crystal system is trigonal. Its total moment is 0.00 μB/cell. The value obtained for the formation energy is -401 meV/atom.

The structure in CIF format:
```
data_Y4Ga2Ag
_chemical_formula_sum 'Y12 Ga6 Ag3'
_space_group_name_H-M_alt 'R -3 m'
_space_group_IT_number 166
_space_group_name_Hall '-R 3 2"'
_cell_length_a 5.0633
_cell_length_b 5.0633
_cell_length_c 24.5670
_cell_angle_alpha 90.00
_cell_angle_beta 90.00
_cell_angle_gamma 120.00
loop_
_atom_site_label
_atom_site_type_symbol
_atom_site_fract_x
_atom_site_fract_y
_atom_site_fract_z
Y1 Y 0.0000 0.0000 0.1206
Y2 Y 0.0000 0.0000 0.3717
Ga1 Ga 0.0000 0.0000 0.2505
Ag1 Ag 0.0000 0.0000 0.5000
```

=====

Here is Y5Ga2Ag after structural relaxation from the Alexandria database. Energies are from PBE-GGA.

Values from the calculation:
The calculation puts the final energy at -178.41 eV per cell. As for the density of states at the Fermi level: 6.69 states/eV/f.u. The crystal system is tetragonal. Its total moment is 0.00 μB/cell. The value obtained for the formation energy is -422 meV/atom.

The structure in CIF format:
```
data_Y5Ga2Ag
_chemical_formula_sum 'Y20 Ga8 Ag4'
_space_group_name_H-M_alt 'I 4/m c m'
_space_group_IT_number 140
_space_group_name_Hall '-I 4 2c'
_cell_length_a 7.567
_cell_length_b 7.567
_cell_length_c 14.757
_cell_angle_alpha 90.00
_cell_angle_beta 90.00
_cell_angle_gamma 90.00
loop_
_atom_site_label
_atom_site_type_symbol
_atom_site_fract_x
_atom_site_fract_y
_atom_site_fract_z
Y1 Y 0.000 0.000 0.000
Y2 Y 0.169 0.331 0.145
Ga1 Ga 0.122 0.378 0.500
Ag1 Ag 0.000 0.000 0.250
```